1.
Entry from OQMD: a geometry-optimized TbThNp structure (PBE).

Values from the calculation:
* E_form: 1.119 eV per atom
* mass density: 10.3 g/cm³
* crystal system: cubic

Cell lengths 7.403, 7.403, 7.403 Å; angles 90.00, 90.00, 90.00 degrees
Space group F-43m (No. 216)
Symmetry-distinct sites (fractional):
Tb1 0.000 0.000 0.000 x4
Th1 0.250 0.250 0.750 x4
Np1 0.000 0.000 0.500 x4

2.
Entry from OQMD: a geometry-optimized ZrFeOs2 structure (PBE).

Values from the calculation:
* E_form: 0.122 eV per atom
* mass density: 14.2 g/cm³
* crystal system: cubic

Cell lengths 6.279, 6.279, 6.279 Å; angles 90.00, 90.00, 90.00 degrees
Space group F-43m (No. 216)
Symmetry-distinct sites (fractional):
Zr1 0.000 0.000 0.000 x4
Fe1 0.250 0.250 0.250 x4
Os1 0.000 0.000 0.500 x4
Os2 0.250 0.250 0.750 x4

no.,total magnetic moment (μB/f.u.)
1,5.95
2,3.06